NdSiSnPt2 | PBE | relaxed

The total energy comes out at -6.2538 eV/atom. As for the magnetization: 0.00 μB per cell.

The structure in CIF format:
```
data_NdSiSnPt2
_cell_length_a 4.339
_cell_length_b 4.339
_cell_length_c 10.708
_cell_angle_alpha 90.00
_cell_angle_beta 90.00
_cell_angle_gamma 90.00
_symmetry_space_group_name_H-M 'P 4/n m m'
_symmetry_Int_Tables_number 129
loop_
_symmetry_equiv_pos_as_xyz
'x,y,z'
'-x,-y,-z'
'-y+1/2,x,z'
'y+1/2,-x,-z'
'-x+1/2,-y+1/2,z'
'x+1/2,y+1/2,-z'
'y,-x+1/2,z'
'-y,x+1/2,-z'
'x+1/2,-y,-z'
'-x+1/2,y,z'
'-y,-x,-z'
'y,x,z'
'-x,y+1/2,-z'
'x,-y+1/2,z'
'y+1/2,x+1/2,-z'
'-y+1/2,-x+1/2,z'
loop_
_atom_site_label
_atom_site_fract_x
_atom_site_fract_y
_atom_site_fract_z
Nd1 0.250 0.250 0.231
Si1 0.250 0.250 0.883
Sn1 0.250 0.750 0.500
Pt1 0.250 0.250 0.663
Pt2 0.250 0.750 0.000
```